Record 1
Compound: P2IrRhCl
Source: the Alexandria database
Functional: meta-GGA SCAN
Structure: single point on PBEsol structure

Structure (extended XYZ):
```
5
Lattice="4.449 0.000 0.000 0.000 4.449 0.000 0.000 0.000 4.556" Properties=species:S:1:pos:R:3 pbc="T T T"
P 0.000 2.225 0.000
P 2.225 0.000 0.000
Ir 0.000 0.000 2.278
Rh 2.225 2.225 0.000
Cl 2.225 2.225 2.278
```

D(E_F) = 3.5 states/eV/cell

Record 2
Compound: PIrRuCl2
Source: the Alexandria database
Functional: meta-GGA SCAN
Structure: single point on PBEsol structure

Structure (extended XYZ):
```
5
Lattice="4.830 0.000 0.000 0.000 4.830 0.000 0.000 0.000 4.422" Properties=species:S:1:pos:R:3 pbc="T T T"
P 0.000 0.000 0.000
Ir 0.000 0.000 2.211
Ru 2.415 2.415 0.000
Cl 0.000 2.415 2.211
Cl 2.415 0.000 2.211
```

D(E_F) = 2.3 states/eV/cell

Record 3
Compound: P2IrSCl
Source: the Alexandria database
Functional: meta-GGA SCAN
Structure: single point on PBEsol structure

Structure (extended XYZ):
```
5
Lattice="4.540 0.000 0.000 0.000 4.540 0.000 0.000 0.000 4.764" Properties=species:S:1:pos:R:3 pbc="T T T"
P 0.000 2.270 0.000
P 2.270 0.000 0.000
Ir 0.000 0.000 0.000
S 0.000 0.000 2.382
Cl 2.270 2.270 2.382
```

D(E_F) = 6.1 states/eV/cell

no.,total energy (eV per formula unit),total magnetic moment (μB per atom)
1,-127.97,0.296
2,-127.84,0.639
3,-106.02,0.002